[1]
# La6CeMg, relaxed, DFT PBE
# Calculated density, g/cm³: 6.1
# Formation energy, meV per atom: 55
data_La6CeMg
_cell_length_a 5.957
_cell_length_b 5.957
_cell_length_c 15.263
_cell_angle_alpha 90.00
_cell_angle_beta 90.00
_cell_angle_gamma 90.00
_space_group_name_H-M_alt 'I 4/m m m'
_space_group_IT_number 139
_space_group_name_Hall '-I 4 2'
loop_
_atom_site_label
_atom_site_fract_x
_atom_site_fract_y
_atom_site_fract_z
La1 0.000 0.000 0.238
La2 0.000 0.500 0.109
Ce1 0.000 0.000 0.000
Mg1 0.000 0.000 0.500

[2]
# La5CeMg4, relaxed, DFT PBE
# Calculated density, g/cm³: 4.9
# Formation energy, meV per atom: -56
data_La5CeMg4
_cell_length_a 3.828
_cell_length_b 3.828
_cell_length_c 21.389
_cell_angle_alpha 90.00
_cell_angle_beta 90.00
_cell_angle_gamma 90.00
_space_group_name_H-M_alt 'P 4/m m m'
_space_group_IT_number 123
_space_group_name_Hall '-P 4 2'
loop_
_atom_site_label
_atom_site_fract_x
_atom_site_fract_y
_atom_site_fract_z
La1 0.000 0.000 0.000
La2 0.000 0.000 0.192
La3 0.000 0.000 0.392
Ce1 0.500 0.500 0.500
Mg1 0.500 0.500 0.096
Mg2 0.500 0.500 0.292

[3]
# LaCeMg, relaxed, DFT PBE
# Energy relative to the lowest polymorph listed for this composition, eV per atom: 0.0000
# Calculated density, g/cm³: 5.4
# Formation energy, meV per atom: 57
data_LaCeMg
_cell_length_a 3.787
_cell_length_b 3.787
_cell_length_c 13.041
_cell_angle_alpha 90.00
_cell_angle_beta 90.00
_cell_angle_gamma 90.00
_space_group_name_H-M_alt 'I 4 m m'
_space_group_IT_number 107
_space_group_name_Hall 'I 4 -2'
loop_
_atom_site_label
_atom_site_fract_x
_atom_site_fract_y
_atom_site_fract_z
La1 0.000 0.000 0.000
Ce1 0.000 0.000 0.685
Mg1 0.000 0.000 0.338